[1]
ZnNi2Sn2 | meta-GGA SCAN | PBEsol geometry

Computed properties:
Density of states at the Fermi level in states/eV/f.u.: 2.61
Magnetic moment in μB/f.u.: 0.000
Theoretical density in g cm⁻³: 8.0
ΔH_f (0 K) in eV/atom: 0.20

```
ZnNi2Sn2
1.0
3.425 0.000 0.000
0.000 3.425 0.000
0.000 0.000 14.948
Zn Ni Sn
2 4 4
direct
0.000 0.000 0.000
0.500 0.500 0.500
0.000 0.500 0.250
0.000 0.500 0.750
0.500 0.000 0.250
0.500 0.000 0.750
0.000 0.000 0.380
0.000 0.000 0.620
0.500 0.500 0.120
0.500 0.500 0.880
```


[2]
Y2C | meta-GGA SCAN | PBEsol geometry

Computed properties:
Density of states at the Fermi level in states/eV/f.u.: 1.62
Magnetic moment in μB/f.u.: 0.159
Theoretical density in g cm⁻³: 4.6
ΔH_f (0 K) in eV/atom: -0.34

```
Y2C
1.0
3.514 0.000 0.000
0.000 15.406 0.000
0.000 0.000 5.048
Y C
8 4
direct
0.000 0.084 0.250
0.000 0.300 0.250
0.000 0.700 0.750
0.000 0.916 0.750
0.500 0.200 0.750
0.500 0.416 0.750
0.500 0.584 0.250
0.500 0.800 0.250
0.000 0.313 0.750
0.000 0.687 0.250
0.500 0.187 0.250
0.500 0.813 0.750
```


[3]
Fe2SiW | meta-GGA SCAN | PBEsol geometry

Computed properties:
Density of states at the Fermi level in states/eV/f.u.: 2.84
Magnetic moment in μB/f.u.: 3.405
Theoretical density in g cm⁻³: 11.2
Energy relative to the elements, uncorrected in meV/atom: -43

```
Fe2SiW
1.0
2.856 0.000 0.000
0.000 2.856 0.000
0.000 0.000 5.866
Fe Si W
2 1 1
direct
0.000 0.000 0.000
0.500 0.500 0.234
0.500 0.500 0.793
0.000 0.000 0.504
```


[4]
CuNi2Br | meta-GGA SCAN | PBEsol geometry

Computed properties:
Energy above the most stable polymorph in this dataset in eV/atom: 0.000
Density of states at the Fermi level in states/eV/f.u.: 2.44
Magnetic moment in μB/f.u.: 0.000
Theoretical density in g cm⁻³: 8.6
Energy relative to the elements, uncorrected in meV/atom: 643

```
CuNi2Br
1.0
5.718 0.000 0.000
0.000 5.848 0.000
0.000 0.000 3.023
Cu Ni Br
2 4 2
direct
0.000 0.000 0.000
0.500 0.500 0.000
0.250 0.250 0.500
0.250 0.750 0.500
0.750 0.250 0.500
0.750 0.750 0.500
0.000 0.500 0.000
0.500 0.000 0.000
```


[5]
TcAuS2 | meta-GGA SCAN | PBEsol geometry

Computed properties:
Energy above the most stable polymorph in this dataset in eV/atom: 0.587
Density of states at the Fermi level in states/eV/f.u.: 2.29
Magnetic moment in μB/f.u.: 0.000
Theoretical density in g cm⁻³: 10.3
Energy relative to the elements, uncorrected in meV/atom: 525

```
TcAuS2
1.0
6.144 0.000 0.000
0.000 6.144 0.000
0.000 0.000 6.144
Tc Au S
4 4 8
direct
0.000 0.000 0.000
0.000 0.500 0.500
0.500 0.000 0.500
0.500 0.500 0.000
0.000 0.000 0.500
0.000 0.500 0.000
0.500 0.000 0.000
0.500 0.500 0.500
0.250 0.250 0.250
0.250 0.250 0.750
0.250 0.750 0.250
0.250 0.750 0.750
0.750 0.250 0.250
0.750 0.250 0.750
0.750 0.750 0.250
0.750 0.750 0.750
```


[6]
NaV3S2O14 | meta-GGA SCAN | PBEsol geometry

Computed properties:
Density of states at the Fermi level in states/eV/f.u.: 0.00
Magnetic moment in μB/f.u.: 0.000
Theoretical density in g cm⁻³: 3.1
Energy relative to the elements, uncorrected in meV/atom: -2057

```
NaV3S2O14
1.0
3.466 2.001 5.935
-3.466 2.001 5.935
0.000 -4.002 5.935
Na V S O
1 3 2 14
direct
0.000 0.000 0.000
0.046 0.500 0.954
0.500 0.954 0.046
0.954 0.046 0.500
0.302 0.302 0.302
0.698 0.698 0.698
0.104 0.734 0.726
0.147 0.160 0.506
0.160 0.506 0.147
0.266 0.896 0.274
0.274 0.266 0.896
0.382 0.382 0.382
0.494 0.840 0.853
0.506 0.147 0.160
0.618 0.618 0.618
0.726 0.104 0.734
0.734 0.726 0.104
0.840 0.853 0.494
0.853 0.494 0.840
0.896 0.274 0.266
```